# ZnFe2, optimized geometry, DFT PBE
# - DFT formation energy: 0.08 eV per atom
data_ZnFe2
_chemical_formula_sum 'Zn4 Fe8'
_cell_length_a 9.812
_cell_length_b 2.485
_cell_length_c 6.297
_cell_angle_alpha 90.00
_cell_angle_beta 104.82
_cell_angle_gamma 90.00
_space_group_name_H-M_alt 'C 1 2/m 1'
_space_group_IT_number 12
loop_
_space_group_symop_operation_xyz
'x,y,z'
'-x,-y,-z'
'-x,y,-z'
'x,-y,z'
'x+1/2,y+1/2,z'
'-x+1/2,-y+1/2,-z'
'-x+1/2,y+1/2,-z'
'x+1/2,-y+1/2,z'
loop_
_atom_site_label
_atom_site_type_symbol
_atom_site_fract_x
_atom_site_fract_y
_atom_site_fract_z
Zn1 Zn 0.196 0.000 0.149
Fe1 Fe 0.030 0.500 0.808
Fe2 Fe 0.133 0.000 0.519